[1]
{
  "formula": "KLaTeO",
  "functional": "GGA-PBE",
  "state": "optimized geometry",
  "cell": [[2.0037, 1.1568, 8.1411], [-2.0037, 1.1568, 8.1411], [0.0000, -2.3137, 8.1411]],
  "species": ["K", "La", "Te", "O"],
  "frac_coords": [[0.0000, 0.0000, 0.0000], [0.1447, 0.1447, 0.1447], [0.5697, 0.5697, 0.5697], [0.4374, 0.4374, 0.4374]],
  "space_group": "R3m",
  "e_form_raw_mev_per_atom": -1773
}

***

[2]
{
  "formula": "Dy3Pd5O12",
  "functional": "GGA-PBE",
  "state": "optimized geometry",
  "cell": [[-6.4170, 6.4170, 6.4170], [6.4170, -6.4170, 6.4170], [6.4170, 6.4170, -6.4170]],
  "species": ["Dy", "Dy", "Dy", "Dy", "Dy", "Dy", "Dy", "Dy", "Dy", "Dy", "Dy", "Dy", "Pd", "Pd", "Pd", "Pd", "Pd", "Pd", "Pd", "Pd", "Pd", "Pd", "Pd", "Pd", "Pd", "Pd", "Pd", "Pd", "Pd", "Pd", "Pd", "Pd", "O", "O", "O", "O", "O", "O", "O", "O", "O", "O", "O", "O", "O", "O", "O", "O", "O", "O", "O", "O", "O", "O", "O", "O", "O", "O", "O", "O", "O", "O", "O", "O", "O", "O", "O", "O", "O", "O", "O", "O", "O", "O", "O", "O", "O", "O", "O", "O"],
  "frac_coords": [[0.1250, 0.2500, 0.3750], [0.1250, 0.3750, 0.7500], [0.2500, 0.3750, 0.1250], [0.2500, 0.8750, 0.6250], [0.3750, 0.1250, 0.2500], [0.3750, 0.7500, 0.1250], [0.6250, 0.2500, 0.8750], [0.6250, 0.8750, 0.7500], [0.7500, 0.1250, 0.3750], [0.7500, 0.6250, 0.8750], [0.8750, 0.6250, 0.2500], [0.8750, 0.7500, 0.6250], [0.0000, 0.0000, 0.0000], [0.0000, 0.0000, 0.5000], [0.0000, 0.5000, 0.0000], [0.0000, 0.5000, 0.5000], [0.1250, 0.7500, 0.8750], [0.1250, 0.8750, 0.2500], [0.2500, 0.1250, 0.8750], [0.2500, 0.6250, 0.3750], [0.3750, 0.2500, 0.6250], [0.3750, 0.6250, 0.7500], [0.5000, 0.0000, 0.0000], [0.5000, 0.0000, 0.5000], [0.5000, 0.5000, 0.0000], [0.5000, 0.5000, 0.5000], [0.6250, 0.3750, 0.2500], [0.6250, 0.7500, 0.3750], [0.7500, 0.3750, 0.6250], [0.7500, 0.8750, 0.1250], [0.8750, 0.1250, 0.7500], [0.8750, 0.2500, 0.1250], [0.0439, 0.2096, 0.1319], [0.0439, 0.3343, 0.9121], [0.0777, 0.7096, 0.6657], [0.0777, 0.8681, 0.4121], [0.0879, 0.6319, 0.4223], [0.0879, 0.9561, 0.6657], [0.1319, 0.0439, 0.2096], [0.1319, 0.5879, 0.9223], [0.1657, 0.2096, 0.5777], [0.1657, 0.4561, 0.5879], [0.2096, 0.1319, 0.0439], [0.2096, 0.5777, 0.1657], [0.2904, 0.3343, 0.9223], [0.2904, 0.4561, 0.3681], [0.3343, 0.9121, 0.0439], [0.3343, 0.9223, 0.2904], [0.3681, 0.2904, 0.4561], [0.3681, 0.5777, 0.9121], [0.4121, 0.0777, 0.8681], [0.4121, 0.8343, 0.5439], [0.4223, 0.0879, 0.6319], [0.4223, 0.8343, 0.7904], [0.4561, 0.3681, 0.2904], [0.4561, 0.5879, 0.1657], [0.5439, 0.4121, 0.8343], [0.5439, 0.6319, 0.7096], [0.5777, 0.1657, 0.2096], [0.5777, 0.9121, 0.3681], [0.5879, 0.1657, 0.4561], [0.5879, 0.9223, 0.1319], [0.6319, 0.4223, 0.0879], [0.6319, 0.7096, 0.5439], [0.6657, 0.0777, 0.7096], [0.6657, 0.0879, 0.9561], [0.7096, 0.5439, 0.6319], [0.7096, 0.6657, 0.0777], [0.7904, 0.4223, 0.8343], [0.7904, 0.8681, 0.9561], [0.8343, 0.5439, 0.4121], [0.8343, 0.7904, 0.4223], [0.8681, 0.4121, 0.0777], [0.8681, 0.9561, 0.7904], [0.9121, 0.0439, 0.3343], [0.9121, 0.3681, 0.5777], [0.9223, 0.1319, 0.5879], [0.9223, 0.2904, 0.3343], [0.9561, 0.6657, 0.0879], [0.9561, 0.7904, 0.8681]],
  "dos_ef_per_ev_cell": 60.2,
  "space_group": "Ia-3d",
  "e_form_raw_mev_per_atom": -1357
}

***

[3]
{
  "formula": "LiTcIr2",
  "functional": "GGA-PBE",
  "state": "optimized geometry",
  "cell": [[1.3763, -2.2946, 0.0000], [1.3763, 2.2946, 0.0000], [0.0000, 0.0000, 9.2867]],
  "species": ["Li", "Tc", "Ir", "Ir"],
  "frac_coords": [[0.0000, 0.0000, 0.0000], [0.5000, 0.5000, 0.2621], [0.0000, 0.0000, 0.5047], [0.5000, 0.5000, 0.7620]],
  "dos_ef_per_ev_cell": 5.6,
  "space_group": "Cmm2",
  "polymorph_energy_mev_per_atom": 328,
  "formation_energy_ev_per_atom": 0.213
}

***

[4]
{
  "formula": "LiZr2Rh",
  "functional": "GGA-PBE",
  "state": "optimized geometry",
  "cell": [[1.7705, -2.4172, 0.0000], [1.7705, 2.4172, 0.0000], [0.0000, 0.0000, 9.0416]],
  "species": ["Li", "Zr", "Zr", "Rh"],
  "frac_coords": [[0.0000, 0.0000, 0.0000], [0.0000, 0.0000, 0.5766], [0.5000, 0.5000, 0.2935], [0.5000, 0.5000, 0.7933]],
  "dos_ef_per_ev_cell": 4.0,
  "space_group": "Cmm2",
  "formation_energy_ev_per_atom": -0.084
}

***

What did the first record say?
{
  "formula": "KLaTeO",
  "functional": "GGA-PBE",
  "state": "optimized geometry",
  "cell": [[2.0037, 1.1568, 8.1411], [-2.0037, 1.1568, 8.1411], [0.0000, -2.3137, 8.1411]],
  "species": ["K", "La", "Te", "O"],
  "frac_coords": [[0.0000, 0.0000, 0.0000], [0.1447, 0.1447, 0.1447], [0.5697, 0.5697, 0.5697], [0.4374, 0.4374, 0.4374]],
  "space_group": "R3m",
  "e_form_raw_mev_per_atom": -1773
}